The following is a DFT calculation (PBE-GGA) of crystalline CeNd8Tl5 at its relaxed geometry.

Unit cell a=8.3588 b=8.3588 c=8.3588 alpha=109.33 beta=109.33 gamma=109.76
Fractional positions:
1 Ce 0.0000 0.0000 0.0000
2 Nd 0.0237 0.6187 0.7421
3 Nd 0.2298 0.4850 0.1041
4 Nd 0.3813 0.1234 0.4050
5 Nd 0.3809 0.1257 0.8959
6 Nd 0.5150 0.6191 0.7448
7 Nd 0.7185 0.9763 0.5950
8 Nd 0.8743 0.7702 0.2552
9 Nd 0.8766 0.2815 0.2579
10 Tl 0.1212 0.2398 0.6211
11 Tl 0.2500 0.7500 0.5000
12 Tl 0.4999 0.8788 0.1185
13 Tl 0.6187 0.5001 0.3789
14 Tl 0.7602 0.3813 0.8815

## Properties
Total magnetic moment = 1.888 μB/f.u.
Space group = I-4, No. 82
Total energy = -58.160 eV/cell

---

The following is a DFT calculation (PBE-GGA) of crystalline Ce2NdTl6 at its relaxed geometry.

Unit cell a=8.4757 b=8.4757 c=4.6672 alpha=90.00 beta=90.00 gamma=125.21
Fractional positions:
1 Ce 0.2100 0.7900 0.0000
2 Ce 0.7900 0.2100 0.0000
3 Nd 0.0000 0.0000 0.5000
4 Tl 0.1531 0.4512 0.5000
5 Tl 0.3042 0.3042 0.0000
6 Tl 0.4512 0.1531 0.5000
7 Tl 0.5488 0.8469 0.5000
8 Tl 0.6958 0.6958 0.0000
9 Tl 0.8469 0.5488 0.5000

## Properties
Total magnetic moment = 3.384 μB/f.u.
Space group = Cmmm, No. 65
Total energy = -31.713 eV/cell

---

The following is a DFT calculation (PBE-GGA) of crystalline CeNd6Tl5 at its relaxed geometry.

Unit cell a=9.4008 b=9.4008 c=9.4008 alpha=148.12 beta=123.29 gamma=66.55
Fractional positions:
1 Ce 0.0000 0.0000 0.0000
2 Nd 0.0863 0.8292 0.2570
3 Nd 0.2655 0.5000 0.7655
4 Nd 0.4278 0.1708 0.2570
5 Nd 0.5722 0.8292 0.7430
6 Nd 0.7345 0.5000 0.2345
7 Nd 0.9137 0.1708 0.7430
8 Tl 0.1519 0.6519 0.5000
9 Tl 0.3285 0.3285 0.0000
10 Tl 0.5000 0.0000 0.5000
11 Tl 0.6715 0.6715 0.0000
12 Tl 0.8481 0.3481 0.5000

## Properties
Total magnetic moment = 1.951 μB/f.u.
Energy above the most stable polymorph in this dataset = 0.0 meV/atom
Space group = Immm, No. 71

---

The following is a DFT calculation (PBE-GGA) of crystalline Ce6NdTl6 at its relaxed geometry.

Unit cell a=6.3258 b=6.3258 c=10.7612 alpha=90.00 beta=90.00 gamma=114.80
Fractional positions:
1 Ce 0.0000 0.0000 0.2034
2 Ce 0.0000 0.0000 0.7966
3 Ce 0.0000 0.5000 0.2720
4 Ce 0.0000 0.5000 0.7280
5 Ce 0.5000 0.0000 0.2720
6 Ce 0.5000 0.0000 0.7280
7 Nd 0.5000 0.5000 0.5000
8 Tl 0.1400 0.8600 0.5000
9 Tl 0.2581 0.7419 0.0000
10 Tl 0.5000 0.5000 0.1870
11 Tl 0.5000 0.5000 0.8130
12 Tl 0.7419 0.2581 0.0000
13 Tl 0.8600 0.1400 0.5000

## Properties
Total magnetic moment = 6.652 μB/f.u.
Space group = Cmmm, No. 65
Total energy = -55.732 eV/cell